A plane-wave DFT calculation with GGA-PBE was carried out for crystalline La4Nd3DyTe8 at its relaxed geometry.

ΔE_f (raw) (eV per atom): -1.49
M_tot (μB per atom): 0.0000

abc: 9.0643 9.0643 22.0772
angles: 90.00 90.00 120.00
Space group R-3m (No. 166, hexagonal axes)
Inequivalent atoms, fractional coordinates:
La1 0.0000 0.0000 0.0000
La2 0.0000 0.5000 0.0000
Nd1 0.0000 0.5000 0.5000
Dy1 0.0000 0.0000 0.5000
Te1 0.0000 0.0000 0.2485
Te2 0.0059 0.5029 0.2470